(1)
## HfSiAsSe2 (SCAN)

Data for a crystal of HfSiAsSe2 relaxed with PBEsol.

Cell lengths 4.693, 4.693, 4.662 Å; angles 90.00, 90.00, 90.00 degrees
Fractional positions:
As 0.000 0.000 0.500
Hf 0.500 0.500 0.500
Si 0.000 0.000 0.000
Se 0.000 0.500 0.000
Se 0.500 0.000 0.000

Properties
Symmetry: No. 123
Spin magnetization: 0.0 μB per cell
Uncorrected formation energy: 0.323 eV/atom
E_tot: -26.2839 eV per atom

---

(2)
## HfSnAsSe2 (SCAN)

Data for a crystal of HfSnAsSe2 relaxed with PBEsol.

Cell lengths 5.037, 5.037, 5.073 Å; angles 90.00, 90.00, 90.00 degrees
Fractional positions:
As 0.000 0.000 0.500
Hf 0.500 0.500 0.500
Sn 0.000 0.000 0.000
Se 0.000 0.500 0.000
Se 0.500 0.000 0.000

Properties
Symmetry: No. 123
Spin magnetization: 0.0 μB per cell
Uncorrected formation energy: 0.719 eV/atom
E_tot: -31.0695 eV per atom

---

(3)
## HfTaAsSe2 (SCAN)

Data for a crystal of HfTaAsSe2 relaxed with PBEsol.

Cell lengths 4.957, 4.957, 5.061 Å; angles 90.00, 90.00, 90.00 degrees
Last column: magnetic moment on the atom in μB.
Fractional positions:
As 0.000 0.000 0.500  -0.24
Hf 0.000 0.000 0.000  0.06
Se 0.000 0.500 0.000  -0.17
Se 0.500 0.000 0.000  -0.17
Ta 0.500 0.500 0.500  2.00

Properties
Symmetry: No. 123
Spin magnetization: 2.2 μB per cell
Uncorrected formation energy: 0.547 eV/atom
E_tot: -37.3741 eV per atom

---

(4)
## SrHf2As (SCAN)

Data for a crystal of SrHf2As relaxed with PBEsol.

Cell lengths 5.029, 5.029, 10.251 Å; angles 104.20, 104.20, 90.00 degrees
Fractional positions:
Sr 0.000 0.000 0.000
Sr 0.250 0.750 0.500
As 0.500 0.500 0.000
As 0.750 0.250 0.500
Hf 0.625 0.375 0.750
Hf 0.125 0.375 0.750
Hf 0.625 0.875 0.250
Hf 0.625 0.375 0.250

Properties
Symmetry: No. 141
Spin magnetization: 0.0 μB per cell
E_tot: -41.7470 eV per atom
Energy of formation: 0.8 eV/f.u.

---

(5)
## Hf2TcAs2 (SCAN)

Data for a crystal of Hf2TcAs2 relaxed with PBEsol.

Cell lengths 3.490, 3.490, 7.905 Å; angles 102.75, 102.75, 90.00 degrees
Fractional positions:
As 0.250 0.750 0.500
As 0.750 0.250 0.500
Hf 0.399 0.399 0.799
Hf 0.601 0.601 0.201
Tc 0.000 0.000 0.000

Properties
Symmetry: No. 139
Spin magnetization: 0.0 μB per cell
E_tot: -40.4631 eV per atom
Energy of formation: -1.5 eV/f.u.

---

(6)
## HfTcAs3 (SCAN)

Data for a crystal of HfTcAs3 relaxed with PBEsol.

Cell lengths 4.725, 4.725, 4.725 Å; angles 90.00, 90.00, 90.00 degrees
Fractional positions:
As 0.000 0.500 0.000
As 0.000 0.000 0.500
As 0.500 0.000 0.000
Hf 0.500 0.500 0.500
Tc 0.000 0.000 0.000

Properties
Symmetry: No. 221
Spin magnetization: 0.0 μB per cell
E_tot: -31.0020 eV per atom
Energy of formation: 3.3 eV/f.u.

---

(7)
## HfTe2As (SCAN)

Data for a crystal of HfTe2As relaxed with PBEsol.

Cell lengths 6.392, 6.392, 6.392 Å; angles 105.80, 105.80, 117.09 degrees
Fractional positions:
As 0.500 0.500 0.000
As 0.750 0.250 0.500
Te 0.875 0.875 0.500
Te 0.375 0.375 0.500
Te 0.125 0.625 0.000
Te 0.625 0.125 0.000
Hf 0.000 0.000 0.000
Hf 0.250 0.750 0.500

Properties
Symmetry: No. 122
Spin magnetization: 0.0 μB per cell
Uncorrected formation energy: 0.091 eV/atom
E_tot: -39.2505 eV per atom

---

(8)
## HfTi3As (SCAN)

Data for a crystal of HfTi3As relaxed with PBEsol.

Cell lengths 4.737, 4.737, 4.737 Å; angles 90.00, 90.00, 90.00 degrees
Last column: magnetic moment on the atom in μB.
Fractional positions:
As 0.500 0.500 0.500  -0.12
Hf 0.000 0.000 0.000  0.06
Ti 0.000 0.500 0.000  0.65
Ti 0.000 0.000 0.500  0.65
Ti 0.500 0.000 0.000  0.65

Properties
Symmetry: No. 221
Spin magnetization: 2.5 μB per cell
E_tot: -25.0721 eV per atom
Energy of formation: 5.6 eV/f.u.

---

(9)
## Hf2TiAs (SCAN)

Data for a crystal of Hf2TiAs relaxed with PBEsol.

Cell lengths 5.366, 6.065, 6.065 Å; angles 78.72, 63.75, 63.75 degrees
Last column: magnetic moment on the atom in μB.
Fractional positions:
As 0.000 0.000 0.000  -0.01
As 0.750 0.500 0.500  -0.01
Hf 0.661 0.964 0.464  0.04
Hf 0.089 0.036 0.536  0.04
Hf 0.375 0.536 0.964  0.04
Hf 0.875 0.464 0.036  0.04
Ti 0.500 0.000 0.000  0.59
Ti 0.250 0.500 0.500  0.59

Properties
Symmetry: No. 122
Spin magnetization: 1.6 μB per cell
E_tot: -40.4330 eV per atom
Energy of formation: -0.2 eV/f.u.

---

(10)
## Hf2Ti2As (SCAN)

Data for a crystal of Hf2Ti2As relaxed with PBEsol.

Cell lengths 3.853, 3.853, 7.103 Å; angles 105.74, 105.74, 90.00 degrees
Fractional positions:
As 0.000 0.000 0.000
Hf 0.250 0.750 0.500
Hf 0.750 0.250 0.500
Ti 0.417 0.417 0.834
Ti 0.583 0.583 0.166

Properties
Symmetry: No. 139
Spin magnetization: 0.0 μB per cell
E_tot: -35.0130 eV per atom
Energy of formation: 2.5 eV/f.u.

---

(11)
## HfTiAs2 (SCAN)

Data for a crystal of HfTiAs2 relaxed with PBEsol.

Cell lengths 5.802, 5.802, 7.132 Å; angles 114.00, 114.00, 90.00 degrees
Fractional positions:
As 0.390 0.875 0.250
As 0.860 0.375 0.250
As 0.125 0.140 0.750
As 0.625 0.610 0.750
Hf 0.250 0.750 0.500
Hf 0.000 0.000 0.000
Ti 0.750 0.250 0.500
Ti 0.500 0.500 0.000

Properties
Symmetry: No. 122
Spin magnetization: 0.0 μB per cell
E_tot: -30.1629 eV per atom
Energy of formation: -1.6 eV/f.u.

---

(12)
## HfAs3W (SCAN)

Data for a crystal of HfAs3W relaxed with PBEsol.

Cell lengths 4.803, 4.803, 4.803 Å; angles 90.00, 90.00, 90.00 degrees
Fractional positions:
As 0.000 0.500 0.000
As 0.000 0.000 0.500
As 0.500 0.000 0.000
Hf 0.500 0.500 0.500
W 0.000 0.000 0.000

Properties
Symmetry: No. 221
Spin magnetization: 0.0 μB per cell
E_tot: -37.7611 eV per atom
Energy of formation: 4.1 eV/f.u.

---

(13)
## YHfAs2 (SCAN)

Data for a crystal of YHfAs2 relaxed with PBEsol.

Cell lengths 6.197, 6.197, 7.464 Å; angles 114.53, 114.53, 90.00 degrees
Fractional positions:
Y 0.750 0.250 0.500
Y 0.500 0.500 0.000
As 0.348 0.875 0.250
As 0.902 0.375 0.250
As 0.125 0.098 0.750
As 0.625 0.652 0.750
Hf 0.250 0.750 0.500
Hf 0.000 0.000 0.000

Properties
Symmetry: No. 122
Spin magnetization: 0.0 μB per cell
E_tot: -33.5297 eV per atom
Energy of formation: -3.2 eV/f.u.

---

(14)
## Hf3ZnAs (SCAN)

Data for a crystal of Hf3ZnAs relaxed with PBEsol.

Cell lengths 4.810, 4.810, 4.810 Å; angles 90.00, 90.00, 90.00 degrees
Fractional positions:
As 0.500 0.500 0.500
Hf 0.000 0.500 0.000
Hf 0.000 0.000 0.500
Hf 0.500 0.000 0.000
Zn 0.000 0.000 0.000

Properties
Symmetry: No. 221
Spin magnetization: 0.0 μB per cell
E_tot: -43.7958 eV per atom
Energy of formation: 2.7 eV/f.u.